Compound: Tb2PrTm6
Source: Alexandria
Functional: PBE-GGA
Structure: optimized geometry

It has space group P4_2/mnm (No. 136), with a = 10.580 Å, b = 10.580 Å, c = 5.000 Å, α = 90.00°, β = 90.00° and γ = 90.00°. The inequivalent atoms are Tb at (0.168, 0.168, 0.000), Pr at (0.000, 0.000, 0.500), Tm at (0.001, 0.335, 0.500) and Tm at (0.168, 0.832, 0.000).

Its formation energy from the elements is 0.2 eV/f.u. For the magnetic moment, the calculation gives 0.00 μB/f.u. The total energy is -81.26 eV for the cell shown. As for the crystal system: tetragonal.

Compound: TbPr2Tm3
Source: Alexandria
Functional: PBE-GGA
Structure: optimized geometry

It has space group C2/m (No. 12), with a = 23.404 Å, b = 3.490 Å, c = 10.219 Å, α = 90.00°, β = 108.49° and γ = 90.00°. The inequivalent atoms are Tb at (0.190, 0.000, 0.036), Pr at (0.069, 0.500, 0.131), Pr at (0.189, 0.000, 0.372), Tm at (0.058, 0.000, 0.445), Tm at (0.071, 0.500, 0.760) and Tm at (0.194, 0.000, 0.715).

Its formation energy from the elements is 0.8 eV/f.u. For the magnetic moment, the calculation gives 0.00 μB/f.u. The total energy is -107.40 eV for the cell shown. As for the crystal system: monoclinic.

Compound: TbPrTm3
Source: Alexandria
Functional: PBE-GGA
Structure: optimized geometry

It has space group P2_1/m (No. 11), with a = 3.609 Å, b = 11.406 Å, c = 8.575 Å, α = 90.00°, β = 101.39° and γ = 90.00°. The inequivalent atoms are Tb at (0.161, 0.250, 0.372), Pr at (0.421, 0.250, 0.022), Tm at (0.190, 0.750, 0.314) and Tm at (0.332, 0.001, 0.680).

Its formation energy from the elements is 1.5 eV/f.u. For the magnetic moment, the calculation gives 0.00 μB/f.u. The total energy is -42.72 eV for the cell shown. As for the crystal system: monoclinic.

Compound: Tb4PrTm6
Source: Alexandria
Functional: PBE-GGA
Structure: optimized geometry

It has space group I-42m (No. 121), with a = 7.731 Å, b = 7.731 Å, c = 12.725 Å, α = 90.00°, β = 90.00° and γ = 90.00°. The inequivalent atoms are Tb at (0.168, 0.168, 0.426), Pr at (0.000, 0.000, 0.000), Tm at (0.000, 0.500, 0.000) and Tm at (0.243, 0.243, 0.685).

Its formation energy from the elements is 5.1 eV/f.u. For the magnetic moment, the calculation gives 0.00 μB/f.u. The total energy is -90.07 eV for the cell shown. As for the crystal system: tetragonal.

Compound: Tb4PrTm15
Source: Alexandria
Functional: PBE-GGA
Structure: optimized geometry

It has space group P4/mmm (No. 123), with a = 4.969 Å, b = 4.969 Å, c = 24.809 Å, α = 90.00°, β = 90.00° and γ = 90.00°. The inequivalent atoms are Tb at (0.000, 0.000, 0.100), Tb at (0.000, 0.000, 0.299), Pr at (0.000, 0.000, 0.500), Tm at (0.000, 0.500, 0.000), Tm at (0.000, 0.500, 0.199), Tm at (0.000, 0.500, 0.398), Tm at (0.500, 0.500, 0.100), Tm at (0.500, 0.500, 0.299) and Tm at (0.500, 0.500, 0.500).

Its formation energy from the elements is 0.5 eV/f.u. For the magnetic moment, the calculation gives 0.00 μB/f.u. The total energy is -89.85 eV for the cell shown. As for the crystal system: tetragonal.

Compound: Tb12Pr3Tm
Source: Alexandria
Functional: PBE-GGA
Structure: optimized geometry

It has space group P4/mmm (No. 123), with a = 5.070 Å, b = 5.070 Å, c = 20.271 Å, α = 90.00°, β = 90.00° and γ = 90.00°. The inequivalent atoms are Tb at (0.000, 0.000, 0.000), Tb at (0.000, 0.000, 0.248), Tb at (0.000, 0.000, 0.500), Tb at (0.000, 0.500, 0.122), Tb at (0.000, 0.500, 0.374), Pr at (0.500, 0.500, 0.249), Pr at (0.500, 0.500, 0.500) and Tm at (0.500, 0.500, 0.000).

Its formation energy from the elements is 0.3 eV/f.u. For the magnetic moment, the calculation gives 0.00 μB/f.u. The total energy is -74.06 eV for the cell shown. As for the crystal system: tetragonal.